[1]
DFT (PBE) results for a relaxed structure of LaPm5Cd4.

For the formation energy from the elements, the calculation gives -0.25 eV/atom.

Lattice parameters (Å, degrees): 3.8049 3.8049 20.4698 90.00 90.00 90.00
Space group P4/mmm (No. 123)
Unique sites:
La 0.0000 0.0000 0.0000 x1
Pm 0.5000 0.5000 0.1225 x2
Pm 0.5000 0.5000 0.3116 x2
Pm 0.5000 0.5000 0.5000 x1
Cd 0.0000 0.0000 0.2154 x2
Cd 0.0000 0.0000 0.4052 x2

---

[2]
DFT (PBE) results for a relaxed structure of LaPm4Cd2.

For the formation energy from the elements, the calculation gives 0.17 eV/atom.

Lattice parameters (Å, degrees): 5.9604 5.9604 12.7003 90.00 90.00 90.00
Space group I4/mmm (No. 139)
Unique sites:
La 0.0000 0.0000 0.0000 x2
Pm 0.0000 0.5000 0.0000 x4
Pm 0.0000 0.5000 0.2500 x4
Cd 0.0000 0.0000 0.3713 x4

---

[3]
DFT (PBE) results for a relaxed structure of La3Pm6Cd.

For the formation energy from the elements, the calculation gives 0.06 eV/atom. The energy above the most stable polymorph in this dataset comes out at 83.1 meV/atom.

Lattice parameters (Å, degrees): 13.3327 15.9525 6.5215 90.00 90.00 90.00
Space group Cmc2_1 (No. 36)
Unique sites:
La 0.0000 0.1447 0.0000 x4
La 0.1982 0.4119 0.6572 x8
Pm 0.0000 0.2497 0.5058 x4
Pm 0.0000 0.4534 0.3332 x4
Pm 0.1201 0.0541 0.4969 x8
Pm 0.2118 0.3047 0.1921 x8
Cd 0.0000 0.3446 0.9360 x4

---

[4]
DFT (PBE) results for a relaxed structure of La6Pm2Cd.

For the formation energy from the elements, the calculation gives -0.05 eV/atom.

Lattice parameters (Å, degrees): 9.9221 9.9221 3.7175 90.00 90.00 120.00
Space group P-62m (No. 189)
Unique sites:
La 0.0000 0.3678 0.0000 x3
La 0.0000 0.7157 0.5000 x3
Pm 0.3333 0.6667 0.5000 x2
Cd 0.0000 0.0000 0.0000 x1

---

[5]
DFT (PBE) results for a relaxed structure of La4PmCd.

For the formation energy from the elements, the calculation gives -0.10 eV/atom. The energy above the most stable polymorph in this dataset comes out at 0.0 meV/atom.

Lattice parameters (Å, degrees): 3.7763 3.7763 14.3799 90.00 90.00 90.00
Space group P4/mmm (No. 123)
Unique sites:
La 0.0000 0.0000 0.1470 x2
La 0.5000 0.5000 0.3230 x2
Pm 0.0000 0.0000 0.5000 x1
Cd 0.5000 0.5000 0.0000 x1

---

[6]
DFT (PBE) results for a relaxed structure of LaPm4Cd4.

For the formation energy from the elements, the calculation gives -0.14 eV/atom.

Lattice parameters (Å, degrees): 9.6213 9.6213 5.7992 90.00 90.00 90.00
Space group P4_2/n (No. 86, origin choice 2)
Unique sites:
La 0.2500 0.2500 0.2500 x2
Pm 0.0946 0.8255 0.6768 x8
Cd 0.0497 0.1472 0.8196 x8

---

[7]
DFT (PBE) results for a relaxed structure of La2Pm3Cd3.

For the formation energy from the elements, the calculation gives -0.18 eV/atom. The energy above the most stable polymorph in this dataset comes out at 38.6 meV/atom.

Lattice parameters (Å, degrees): 5.0397 5.0660 9.4695 90.00 90.00 90.00
Space group Pmmm (No. 47)
Unique sites:
La 0.0000 0.0000 0.2407 x2
Pm 0.5000 0.0000 0.5000 x1
Pm 0.5000 0.5000 0.2304 x2
Cd 0.0000 0.5000 0.0000 x1
Cd 0.0000 0.5000 0.5000 x1
Cd 0.5000 0.0000 0.0000 x1

---

[8]
DFT (PBE) results for a relaxed structure of LaPm3Cd3.

For the formation energy from the elements, the calculation gives -0.16 eV/atom.

Lattice parameters (Å, degrees): 9.4500 9.4500 9.4500 90.00 90.00 90.00
Space group P2_13 (No. 198)
Unique sites:
La 0.0456 0.4544 0.5456 x4
Pm 0.1297 0.6297 0.8703 x4
Pm 0.1544 0.1544 0.1544 x4
Pm 0.2133 0.7867 0.2867 x4
Cd 0.0170 0.8212 0.5965 x12

---

[9]
DFT (PBE) results for a relaxed structure of La3Pm6Cd.

For the formation energy from the elements, the calculation gives -0.02 eV/atom. The energy above the most stable polymorph in this dataset comes out at 0.0 meV/atom.

Lattice parameters (Å, degrees): 10.9594 5.2995 11.6965 90.00 94.73 90.00
Space group P2_1/m (No. 11)
Unique sites:
La 0.0531 0.2500 0.4067 x2
La 0.1588 0.7500 0.2122 x2
La 0.2569 0.2500 0.0178 x2
Pm 0.0498 0.7500 0.9012 x2
Pm 0.1623 0.2500 0.7069 x2
Pm 0.2799 0.7500 0.5134 x2
Pm 0.3444 0.7500 0.8268 x2
Pm 0.3747 0.2500 0.3229 x2
Pm 0.4604 0.7500 0.1213 x2
Cd 0.4421 0.2500 0.6085 x2

---

[10]
DFT (PBE) results for a relaxed structure of LaPm2Cd2.

For the formation energy from the elements, the calculation gives -0.26 eV/atom. The energy above the most stable polymorph in this dataset comes out at 0.0 meV/atom.

Lattice parameters (Å, degrees): 3.8610 28.1943 5.5676 90.00 90.00 90.00
Space group Cmcm (No. 63)
Unique sites:
La 0.0000 0.1471 0.2500 x4
Pm 0.0000 0.0474 0.7500 x4
Pm 0.0000 0.2366 0.7500 x4
Cd 0.0000 0.3576 0.2500 x4
Cd 0.0000 0.4525 0.7500 x4

---

[11]
DFT (PBE) results for a relaxed structure of La8Pm4Cd.

For the formation energy from the elements, the calculation gives -0.02 eV/atom.

Lattice parameters (Å, degrees): 11.6668 5.1854 15.0082 90.00 95.08 90.00
Space group C2/m (No. 12)
Unique sites:
La 0.0353 0.0000 0.3811 x4
La 0.0820 0.5000 0.7775 x4
La 0.2105 0.0000 0.9274 x4
La 0.2266 0.5000 0.3060 x4
Pm 0.1062 0.0000 0.1480 x4
Pm 0.1531 0.5000 0.5394 x4
Cd 0.0000 0.5000 0.0000 x2

---

[12]
DFT (PBE) results for a relaxed structure of La9Pm2Cd.

For the formation energy from the elements, the calculation gives -0.03 eV/atom.

Lattice parameters (Å, degrees): 5.1727 5.1727 15.7145 90.00 90.00 90.00
Space group P4/mmm (No. 123)
Unique sites:
La 0.0000 0.0000 0.0000 x1
La 0.0000 0.0000 0.3306 x2
La 0.0000 0.5000 0.1620 x4
La 0.0000 0.5000 0.5000 x2
Pm 0.5000 0.5000 0.3290 x2
Cd 0.5000 0.5000 0.0000 x1

---

[13]
DFT (PBE) results for a relaxed structure of LaPm4Cd.

For the formation energy from the elements, the calculation gives -0.05 eV/atom. The energy above the most stable polymorph in this dataset comes out at 40.7 meV/atom.

Lattice parameters (Å, degrees): 4.9841 15.2363 10.1630 90.00 90.00 90.00
Space group Cmc2_1 (No. 36)
Unique sites:
La 0.0000 0.1707 0.0000 x4
Pm 0.0000 0.0038 0.7488 x4
Pm 0.0000 0.1681 0.4939 x4
Pm 0.0000 0.3301 0.7474 x4
Pm 0.0000 0.4967 0.9995 x4
Cd 0.0000 0.3352 0.2470 x4

---

[14]
DFT (PBE) results for a relaxed structure of La4Pm2Cd.

For the formation energy from the elements, the calculation gives 0.02 eV/atom. The energy above the most stable polymorph in this dataset comes out at 47.7 meV/atom.

Lattice parameters (Å, degrees): 17.1427 3.6194 8.8280 90.00 117.17 90.00
Space group C2/m (No. 12)
Unique sites:
La 0.0816 0.0000 0.2007 x4
La 0.1292 0.5000 0.8830 x4
Pm 0.2174 0.0000 0.6400 x4
Cd 0.0000 0.0000 0.5000 x2

---

[15]
DFT (PBE) results for a relaxed structure of LaPmCd3.

For the formation energy from the elements, the calculation gives -0.33 eV/atom.

Lattice parameters (Å, degrees): 3.5594 30.4033 5.0892 90.00 90.00 90.00
Space group Cmcm (No. 63)
Unique sites:
La 0.0000 0.0743 0.2500 x4
Pm 0.0000 0.2135 0.7500 x4
Cd 0.0000 0.3246 0.7500 x4
Cd 0.0000 0.3784 0.2500 x4
Cd 0.0000 0.4761 0.2500 x4

---

[16]
DFT (PBE) results for a relaxed structure of LaPm3Cd6.

For the formation energy from the elements, the calculation gives -0.30 eV/atom.

Lattice parameters (Å, degrees): 9.4657 5.3032 11.3959 90.00 106.79 90.00
Space group P2_1/m (No. 11)
Unique sites:
La 0.0561 0.2500 0.3906 x2
Pm 0.2340 0.2500 0.0045 x2
Pm 0.3521 0.7500 0.7902 x2
Pm 0.4752 0.2500 0.6125 x2
Cd 0.0567 0.7500 0.9035 x2
Cd 0.1441 0.7500 0.1935 x2
Cd 0.1543 0.2500 0.7051 x2
Cd 0.2495 0.7500 0.4939 x2
Cd 0.3417 0.2500 0.2953 x2
Cd 0.4549 0.7500 0.0890 x2

---

[17]
DFT (PBE) results for a relaxed structure of La5Pm4Cd4.

For the formation energy from the elements, the calculation gives -0.17 eV/atom.

Lattice parameters (Å, degrees): 12.5941 12.5941 5.3424 90.00 90.00 90.00
Space group I4/m (No. 87)
Unique sites:
La 0.0000 0.0000 0.0000 x2
La 0.1084 0.1859 0.5000 x8
Pm 0.0948 0.3914 0.0000 x8
Cd 0.1018 0.7617 0.0000 x8

---

[18]
DFT (PBE) results for a relaxed structure of La2PmCd2.

For the formation energy from the elements, the calculation gives -0.25 eV/atom. The energy above the most stable polymorph in this dataset comes out at 0.0 meV/atom.

Lattice parameters (Å, degrees): 3.8529 5.5421 14.5931 90.00 97.58 90.00
Space group P2_1/m (No. 11)
Unique sites:
La 0.0427 0.2500 0.0846 x2
La 0.2329 0.2500 0.4687 x2
Pm 0.1500 0.7500 0.2974 x2
Cd 0.3618 0.7500 0.7233 x2
Cd 0.4423 0.2500 0.8858 x2

---

[19]
DFT (PBE) results for a relaxed structure of La2Pm2Cd.

For the formation energy from the elements, the calculation gives -0.12 eV/atom. The energy above the most stable polymorph in this dataset comes out at 0.0 meV/atom.

Lattice parameters (Å, degrees): 3.7531 3.7531 23.4275 90.00 90.00 90.00
Space group I4/mmm (No. 139)
Unique sites:
La 0.0000 0.0000 0.1937 x4
Pm 0.0000 0.0000 0.4151 x4
Cd 0.0000 0.0000 0.0000 x2

---

[20]
DFT (PBE) results for a relaxed structure of La8Pm5Cd.

For the formation energy from the elements, the calculation gives 0.17 eV/atom.

Lattice parameters (Å, degrees): 9.9979 9.9979 10.1462 90.00 90.00 90.00
Space group I-4 (No. 82)
Unique sites:
La 0.0655 0.3368 0.0788 x8
La 0.0832 0.1923 0.7548 x8
Pm 0.0000 0.0000 0.0000 x2
Pm 0.0938 0.2041 0.4188 x8
Cd 0.0000 0.5000 0.7500 x2